Entry 1:
First-principles (PBE-GGA) data for Cr2FeAg after structural relaxation, as listed in Alexandria via LeMat-Bulk.

E_tot, eV/atom: -7.30
SG: Cmm2 (35)
Energy above the most stable polymorph in this dataset, meV per atom: 0
N(E_F), states/eV/cell: 7.868
ΔE_f, eV per atom: 0.339

Geometry as CIF:
```
data_Cr2FeAg
_chemical_formula_sum 'Cr4 Fe2 Ag2'
_space_group_name_H-M_alt 'P 1'
_space_group_IT_number 1
_cell_length_a 2.9429
_cell_length_b 4.2620
_cell_length_c 8.4513
_cell_angle_alpha 90.00
_cell_angle_beta 90.00
_cell_angle_gamma 90.00
loop_
_space_group_symop_operation_xyz
'x,y,z'
loop_
_atom_site_label
_atom_site_type_symbol
_atom_site_fract_x
_atom_site_fract_y
_atom_site_fract_z
Cr1 Cr 0.0000 0.0000 0.0000
Cr2 Cr 0.0000 0.5000 0.2149
Cr3 Cr 0.5000 0.0000 0.2149
Cr4 Cr 0.5000 0.5000 0.0000
Fe1 Fe 0.0000 0.0000 0.4435
Fe2 Fe 0.5000 0.5000 0.4435
Ag1 Ag 0.0000 0.5000 0.7183
Ag2 Ag 0.5000 0.0000 0.7183
```

=====

Entry 2:
First-principles (PBE-GGA) data for LaPmAg after structural relaxation, as listed in Alexandria via LeMat-Bulk.

E_tot, eV/atom: -4.12
SG: Fddd (70)
Energy above the most stable polymorph in this dataset, meV per atom: 219
N(E_F), states/eV/cell: 18.621
ΔE_f, eV per atom: 0.061

Geometry as CIF:
```
data_LaPmAg
_chemical_formula_sum 'La4 Pm4 Ag4'
_space_group_name_H-M_alt 'P 1'
_space_group_IT_number 1
_cell_length_a 9.5053
_cell_length_b 8.2261
_cell_length_c 7.9675
_cell_angle_alpha 71.87
_cell_angle_beta 55.33
_cell_angle_gamma 52.80
loop_
_space_group_symop_operation_xyz
'x,y,z'
loop_
_atom_site_label
_atom_site_type_symbol
_atom_site_fract_x
_atom_site_fract_y
_atom_site_fract_z
La1 La 0.0000 0.0000 0.0000
La2 La 0.0000 0.0000 0.5000
La3 La 0.0000 0.5000 0.0000
La4 La 0.5000 0.0000 0.0000
Pm1 Pm 0.2494 0.2494 0.5006
Pm2 Pm 0.4994 0.4994 0.7506
Pm3 Pm 0.5006 0.5006 0.2494
Pm4 Pm 0.7506 0.7506 0.4994
Ag1 Ag 0.1864 0.5636 0.1864
Ag2 Ag 0.4364 0.8136 0.4364
Ag3 Ag 0.5636 0.1864 0.5636
Ag4 Ag 0.8136 0.4364 0.8136
```

=====

Entry 3:
First-principles (PBE-GGA) data for Rb4GeCl5 after structural relaxation, as listed in Alexandria via LeMat-Bulk.

E_tot, eV/atom: -3.24
SG: I4 (79)
N(E_F), states/eV/cell: 1.320
Energy relative to the elements, uncorrected, eV per atom: -1.471

Geometry as CIF:
```
data_Rb4GeCl5
_chemical_formula_sum 'Rb4 Ge1 Cl5'
_space_group_name_H-M_alt 'P 1'
_space_group_IT_number 1
_cell_length_a 7.9503
_cell_length_b 7.9503
_cell_length_c 7.9503
_cell_angle_alpha 100.61
_cell_angle_beta 100.61
_cell_angle_gamma 129.17
loop_
_space_group_symop_operation_xyz
'x,y,z'
loop_
_atom_site_label
_atom_site_type_symbol
_atom_site_fract_x
_atom_site_fract_y
_atom_site_fract_z
Rb1 Rb 0.0939 0.7068 0.8007
Rb2 Rb 0.2932 0.0939 0.3871
Rb3 Rb 0.7068 0.9061 0.6129
Rb4 Rb 0.9061 0.2932 0.1993
Ge1 Ge 0.5006 0.5006 0.0000
Cl1 Cl 0.0018 0.0018 0.0000
Cl2 Cl 0.2297 0.4138 0.6429
Cl3 Cl 0.4138 0.7709 0.1841
Cl4 Cl 0.5868 0.2297 0.8159
Cl5 Cl 0.7709 0.5868 0.3571
```

=====

Entry 4:
First-principles (PBE-GGA) data for Rb2Zn2Hg after structural relaxation, as listed in Alexandria via LeMat-Bulk.

E_tot, eV/atom: -0.88
SG: P4/mbm (127)
Energy above the most stable polymorph in this dataset, meV per atom: 23
N(E_F), states/eV/cell: 5.327
ΔE_f, eV per atom: 0.073

Geometry as CIF:
```
data_Rb2Zn2Hg
_chemical_formula_sum 'Rb4 Zn4 Hg2'
_space_group_name_H-M_alt 'P 1'
_space_group_IT_number 1
_cell_length_a 7.8206
_cell_length_b 7.8206
_cell_length_c 5.7264
_cell_angle_alpha 90.00
_cell_angle_beta 90.00
_cell_angle_gamma 90.00
loop_
_space_group_symop_operation_xyz
'x,y,z'
loop_
_atom_site_label
_atom_site_type_symbol
_atom_site_fract_x
_atom_site_fract_y
_atom_site_fract_z
Rb1 Rb 0.1846 0.3154 0.0000
Rb2 Rb 0.3154 0.8154 0.0000
Rb3 Rb 0.6846 0.1846 0.0000
Rb4 Rb 0.8154 0.6846 0.0000
Zn1 Zn 0.1216 0.6216 0.5000
Zn2 Zn 0.3784 0.1216 0.5000
Zn3 Zn 0.6216 0.8784 0.5000
Zn4 Zn 0.8784 0.3784 0.5000
Hg1 Hg 0.0000 0.0000 0.5000
Hg2 Hg 0.5000 0.5000 0.5000
```

=====

Entry 5:
First-principles (PBE-GGA) data for ThZn2Pd5 after structural relaxation, as listed in Alexandria via LeMat-Bulk.

E_tot, eV/atom: -5.09
SG: Immm (71)
N(E_F), states/eV/cell: 4.776
ΔE_f, eV per atom: -0.596

Geometry as CIF:
```
data_ThZn2Pd5
_chemical_formula_sum 'Th2 Zn4 Pd10'
_space_group_name_H-M_alt 'P 1'
_space_group_IT_number 1
_cell_length_a 4.0576
_cell_length_b 5.8205
_cell_length_c 12.3141
_cell_angle_alpha 90.00
_cell_angle_beta 90.00
_cell_angle_gamma 90.00
loop_
_space_group_symop_operation_xyz
'x,y,z'
loop_
_atom_site_label
_atom_site_type_symbol
_atom_site_fract_x
_atom_site_fract_y
_atom_site_fract_z
Th1 Th 0.0000 0.0000 0.0000
Th2 Th 0.5000 0.5000 0.5000
Zn1 Zn 0.0000 0.5000 0.2109
Zn2 Zn 0.0000 0.5000 0.7891
Zn3 Zn 0.5000 0.0000 0.2891
Zn4 Zn 0.5000 0.0000 0.7109
Pd1 Pd 0.0000 0.2430 0.3776
Pd2 Pd 0.0000 0.2430 0.6224
Pd3 Pd 0.0000 0.5000 0.0000
Pd4 Pd 0.0000 0.7570 0.3776
Pd5 Pd 0.0000 0.7570 0.6224
Pd6 Pd 0.5000 0.0000 0.5000
Pd7 Pd 0.5000 0.2570 0.1224
Pd8 Pd 0.5000 0.2570 0.8776
Pd9 Pd 0.5000 0.7430 0.1224
Pd10 Pd 0.5000 0.7430 0.8776
```

=====

Entry 6:
First-principles (PBE-GGA) data for Pm3Tm7 after structural relaxation, as listed in Alexandria via LeMat-Bulk.

E_tot, eV/atom: -4.37
SG: P6_3mc (186)
Energy above the most stable polymorph in this dataset, meV per atom: 129
N(E_F), states/eV/cell: 32.133
ΔE_f, eV per atom: 0.183

Geometry as CIF:
```
data_Pm3Tm7
_chemical_formula_sum 'Pm6 Tm14'
_space_group_name_H-M_alt 'P 1'
_space_group_IT_number 1
_cell_length_a 10.6774
_cell_length_b 10.6774
_cell_length_c 6.4246
_cell_angle_alpha 90.00
_cell_angle_beta 90.00
_cell_angle_gamma 120.00
loop_
_space_group_symop_operation_xyz
'x,y,z'
loop_
_atom_site_label
_atom_site_type_symbol
_atom_site_fract_x
_atom_site_fract_y
_atom_site_fract_z
Pm1 Pm 0.2028 0.4056 0.0000
Pm2 Pm 0.2028 0.7972 0.0000
Pm3 Pm 0.4056 0.2028 0.5000
Pm4 Pm 0.5944 0.7972 0.0000
Pm5 Pm 0.7972 0.2028 0.5000
Pm6 Pm 0.7972 0.5944 0.5000
Tm1 Tm 0.0573 0.5286 0.6590
Tm2 Tm 0.1215 0.2429 0.4819
Tm3 Tm 0.1215 0.8785 0.4819
Tm4 Tm 0.2429 0.1215 0.9819
Tm5 Tm 0.3333 0.6667 0.3468
Tm6 Tm 0.4714 0.5286 0.6590
Tm7 Tm 0.4714 0.9427 0.6590
Tm8 Tm 0.5286 0.0573 0.1590
Tm9 Tm 0.5286 0.4714 0.1590
Tm10 Tm 0.6667 0.3333 0.8468
Tm11 Tm 0.7571 0.8785 0.4819
Tm12 Tm 0.8785 0.1215 0.9819
Tm13 Tm 0.8785 0.7571 0.9819
Tm14 Tm 0.9427 0.4714 0.1590
```

=====

Entry 7:
First-principles (PBE-GGA) data for PmTmCd after structural relaxation, as listed in Alexandria via LeMat-Bulk.

E_tot, eV/atom: -3.45
SG: P3m1 (156)
Energy above the most stable polymorph in this dataset, meV per atom: 117
N(E_F), states/eV/cell: 3.920
ΔE_f, eV per atom: -0.074

Geometry as CIF:
```
data_PmTmCd
_chemical_formula_sum 'Pm1 Tm1 Cd1'
_space_group_name_H-M_alt 'P 1'
_space_group_IT_number 1
_cell_length_a 5.2612
_cell_length_b 5.2612
_cell_length_c 3.6327
_cell_angle_alpha 90.00
_cell_angle_beta 90.00
_cell_angle_gamma 120.00
loop_
_space_group_symop_operation_xyz
'x,y,z'
loop_
_atom_site_label
_atom_site_type_symbol
_atom_site_fract_x
_atom_site_fract_y
_atom_site_fract_z
Pm1 Pm 0.0000 0.0000 0.0000
Tm1 Tm 0.3333 0.6667 0.4524
Cd1 Cd 0.6667 0.3333 0.6367
```

=====

Entry 8:
First-principles (PBE-GGA) data for CrBiIrS2 after structural relaxation, as listed in Alexandria via LeMat-Bulk.

E_tot, eV/atom: -5.36
SG: P4/mmm (123)
N(E_F), states/eV/cell: 5.619
Energy relative to the elements, uncorrected, eV per atom: 0.762

Geometry as CIF:
```
data_CrBiIrS2
_chemical_formula_sum 'Cr1 Bi1 Ir1 S2'
_space_group_name_H-M_alt 'P 1'
_space_group_IT_number 1
_cell_length_a 4.7141
_cell_length_b 4.7141
_cell_length_c 4.6636
_cell_angle_alpha 90.00
_cell_angle_beta 90.00
_cell_angle_gamma 90.00
loop_
_space_group_symop_operation_xyz
'x,y,z'
loop_
_atom_site_label
_atom_site_type_symbol
_atom_site_fract_x
_atom_site_fract_y
_atom_site_fract_z
Cr1 Cr 0.0000 0.0000 0.0000
Bi1 Bi 0.5000 0.5000 0.0000
Ir1 Ir 0.0000 0.0000 0.5000
S1 S 0.0000 0.5000 0.5000
S2 S 0.5000 0.0000 0.5000
```